# Pm3PRh3

Pm3PRh3 after structural relaxation (PBE-GGA, Alexandria via LeMat-Bulk).

a b c (Å): 4.054 5.658 14.093
angles (deg): 84.72 81.73 69.01
Element x y z (fractional)
1 Rh 0.037 0.167 0.759
2 Pm 0.608 0.710 0.075
3 Rh 0.817 0.829 0.536
4 Rh 0.881 0.162 0.077
5 P 0.763 0.088 0.386
6 Rh 0.119 0.838 0.923
7 Pm 0.740 0.747 0.773
8 Pm 0.484 0.649 0.383
9 Pm 0.392 0.290 0.925
10 P 0.237 0.912 0.614
11 Pm 0.260 0.253 0.227
12 Rh 0.183 0.171 0.464
13 Pm 0.516 0.351 0.617
14 Rh 0.963 0.833 0.241

Computed properties:
**Calculated density**: 8624 kg/m3
**Size of the total moment**: 0.000 μB/atom
**V**: 298.3 Å³ per cell
**SG**: C2/m (12)
**Total DFT energy (no corrections)**: -95.8 eV/cell

# Rb2Tb2BiS6

Rb2Tb2BiS6 after structural relaxation (PBE-GGA, Alexandria via LeMat-Bulk).

a b c (Å): 6.998 6.998 8.267
angles (deg): 98.01 98.01 120.08
Element x y z (fractional)
1 Rb 0.166 0.834 0.000
2 S 0.397 0.062 0.690
3 Tb 0.667 0.333 0.500
4 Rb 0.834 0.166 0.000
5 S 0.603 0.938 0.310
6 S 0.731 0.731 0.689
7 Tb 0.333 0.667 0.500
8 Bi 0.000 0.000 0.500
9 S 0.269 0.269 0.311
10 S 0.062 0.397 0.690
11 S 0.938 0.603 0.310

Computed properties:
**Raw formation energy**: -1370 meV/atom
**Calculated density**: 4394 kg/m3
**Size of the total moment**: 0.000 μB/atom
**V**: 336.4 Å³ per cell
**SG**: C2/m (12)

# Zr3CuTe6

Zr3CuTe6 after structural relaxation (PBE-GGA, Alexandria via LeMat-Bulk).

a b c (Å): 6.884 9.038 9.038
angles (deg): 100.37 90.00 90.00
Element x y z (fractional)
1 Zr 0.869 0.602 0.398
2 Zr 0.369 0.398 0.602
3 Zr 0.986 0.069 0.262
4 Te 0.677 0.629 0.701
5 Te 0.647 0.950 0.050
6 Cu 0.035 0.238 0.762
7 Te 0.225 0.093 0.540
8 Zr 0.486 0.931 0.738
9 Te 0.177 0.371 0.299
10 Te 0.225 0.460 0.907
11 Te 0.177 0.701 0.629
12 Zr 0.486 0.262 0.069
13 Cu 0.535 0.762 0.238
14 Te 0.725 0.907 0.460
15 Te 0.158 0.770 0.230
16 Te 0.725 0.540 0.093
17 Te 0.677 0.299 0.371
18 Te 0.658 0.230 0.770
19 Zr 0.986 0.738 0.931
20 Te 0.147 0.050 0.950

Computed properties:
**Raw formation energy**: -654 meV/atom
**Calculated density**: 6622 kg/m3
**Size of the total moment**: 0.017 μB/atom
**V**: 553.1 Å³ per cell
**Energy above the lowest structure with this stoichiometry**: 0 meV per atom
**SG**: Cmc2_1 (36)